--- i ---
A relaxed LaRePO crystal. Source: the Open Quantum Materials Database, functional PBE-GGA.

Output
- Size of the total moment: 0.004 μB/f.u.

Cell lengths 4.2865, 6.2836, 5.9818 Å; angles 90.00, 90.00, 90.00 degrees
Fractional positions:
P: 0.0000 0.2405 0.4404
P: 0.0000 0.7595 0.9404
Re: 0.5000 0.1079 0.5190
O: 0.5000 0.1700 0.8475
O: 0.5000 0.8300 0.3475
La: 0.0000 0.7183 0.4471
Re: 0.5000 0.8921 0.0190
La: 0.0000 0.2817 0.9471

=====

--- ii ---
A relaxed LaRePO crystal. Source: the Open Quantum Materials Database, functional PBE-GGA.

Output
- Size of the total moment: 0.003 μB/f.u.

Cell lengths 3.9874, 3.9874, 8.8669 Å; angles 90.00, 90.00, 90.00 degrees
Fractional positions:
P: 0.0000 0.5000 0.6539
La: 0.5000 0.0000 0.8582
La: 0.0000 0.5000 0.1418
O: 0.0000 0.0000 0.0000
O: 0.5000 0.5000 0.0000
Re: 0.5000 0.5000 0.5000
Re: 0.0000 0.0000 0.5000
P: 0.5000 0.0000 0.3461

=====

The data favor ii; the next most stable structure lies 726 meV per atom above it.

=====

--- i ---
A relaxed LaTaPO crystal. Source: the Open Quantum Materials Database, functional PBE-GGA.

Output
- Size of the total moment: 0.008 μB/f.u.

Cell lengths 4.0136, 4.0136, 9.2775 Å; angles 90.00, 90.00, 90.00 degrees
Fractional positions:
O: 0.5000 0.5000 0.0000
O: 0.0000 0.0000 0.0000
Ta: 0.0000 0.0000 0.5000
La: 0.0000 0.5000 0.1341
La: 0.5000 0.0000 0.8659
P: 0.0000 0.5000 0.6749
Ta: 0.5000 0.5000 0.5000
P: 0.5000 0.0000 0.3251

=====

--- ii ---
A relaxed LaTaPO crystal. Source: the Open Quantum Materials Database, functional PBE-GGA.

Output
- Size of the total moment: 0.014 μB/f.u.

Cell lengths 4.1364, 4.1364, 7.9735 Å; angles 90.00, 90.00, 90.00 degrees
Fractional positions:
La: 0.2500 0.7500 0.5000
P: 0.2500 0.2500 0.7638
P: 0.7500 0.7500 0.2362
La: 0.7500 0.2500 0.5000
O: 0.7500 0.2500 0.0000
O: 0.2500 0.7500 0.0000
Ta: 0.7500 0.7500 0.9076
Ta: 0.2500 0.2500 0.0924

=====

The data favor i; the next most stable structure lies 1207 meV per atom above it.

=====

--- i ---
A relaxed LaTaPO crystal. Source: the Open Quantum Materials Database, functional PBE-GGA.

Output
- Size of the total moment: 0.014 μB/f.u.

Cell lengths 4.5380, 6.2428, 5.9531 Å; angles 90.00, 90.00, 90.00 degrees
Fractional positions:
O: 0.5000 0.1779 0.8418
La: 0.0000 0.2736 0.9530
O: 0.5000 0.8221 0.3418
Ta: 0.5000 0.1082 0.5132
Ta: 0.5000 0.8918 0.0132
P: 0.0000 0.2431 0.4460
P: 0.0000 0.7569 0.9460
La: 0.0000 0.7264 0.4530

=====

--- ii ---
A relaxed LaTaPO crystal. Source: the Open Quantum Materials Database, functional PBE-GGA.

Output
- Size of the total moment: 0.002 μB/f.u.

Cell lengths 4.2144, 4.7516, 7.0425 Å; angles 90.00, 90.00, 90.00 degrees
Fractional positions:
O: 0.0000 0.1611 0.9382
P: 0.5000 0.6687 0.7869
P: 0.5000 0.3313 0.2869
La: 0.0000 0.6655 0.0882
O: 0.0000 0.8389 0.4382
Ta: 0.5000 0.1617 0.9407
La: 0.0000 0.3345 0.5882
Ta: 0.5000 0.8383 0.4407

=====

The data favor ii; the next most stable structure lies 230 meV per atom above it.

=====

--- i ---
A relaxed LaTmPO crystal. Source: the Open Quantum Materials Database, functional PBE-GGA.

Output
- Size of the total moment: 0.005 μB/f.u.

Cell lengths 4.3750, 7.3083, 6.0808 Å; angles 90.00, 90.00, 90.00 degrees
Fractional positions:
Tm: 0.5000 0.1183 0.5132
P: 0.0000 0.6911 0.9325
P: 0.0000 0.3089 0.4325
La: 0.0000 0.7012 0.4384
Tm: 0.5000 0.8817 0.0132
O: 0.5000 0.8467 0.3698
La: 0.0000 0.2988 0.9384
O: 0.5000 0.1533 0.8698

=====

--- ii ---
A relaxed LaTmPO crystal. Source: the Open Quantum Materials Database, functional PBE-GGA.

Output
- Size of the total moment: 0.014 μB/f.u.

Cell lengths 4.1999, 4.1999, 9.1397 Å; angles 90.00, 90.00, 90.00 degrees
Fractional positions:
Tm: 0.7500 0.7500 0.9037
La: 0.7500 0.2500 0.5000
P: 0.7500 0.7500 0.2793
La: 0.2500 0.7500 0.5000
O: 0.7500 0.2500 0.0000
P: 0.2500 0.2500 0.7207
Tm: 0.2500 0.2500 0.0963
O: 0.2500 0.7500 0.0000

=====

--- iii ---
A relaxed LaTmPO crystal. Source: the Open Quantum Materials Database, functional PBE-GGA.

Output
- Size of the total moment: 0.003 μB/f.u.

Cell lengths 4.3897, 4.3897, 8.9259 Å; angles 90.00, 90.00, 90.00 degrees
Fractional positions:
Tm: 0.7500 0.2500 0.5000
La: 0.7500 0.7500 0.8827
La: 0.2500 0.2500 0.1173
P: 0.2500 0.2500 0.6799
O: 0.2500 0.7500 0.0000
Tm: 0.2500 0.7500 0.5000
P: 0.7500 0.7500 0.3201
O: 0.7500 0.2500 0.0000

=====

--- iv ---
A relaxed LaTmPO crystal. Source: the Open Quantum Materials Database, functional PBE-GGA.

Output
- Size of the total moment: 0.561 μB/f.u.

Cell lengths 4.1098, 8.0116, 5.4638 Å; angles 90.00, 90.00, 90.00 degrees
Site moments in Bohr magnetons follow the coordinates.
Fractional positions:
Tm: 0.0000 0.3047 0.9392  0.09
Tm: 0.0000 0.6953 0.4392  0.08
O: 0.5000 0.8150 0.4301  0.02
P: 0.0000 0.6407 0.9384  0.01
P: 0.0000 0.3593 0.4384  0.01
O: 0.5000 0.1850 0.9301  0.02
La: 0.5000 0.1269 0.4463  0.13
La: 0.5000 0.8731 0.9463  0.13

=====

The data favor i; the next most stable structure lies 28 meV per atom above it.

=====

--- i ---
A relaxed La2Pd2O5 crystal. Source: the Open Quantum Materials Database, functional PBE-GGA.

Output
- Size of the total moment: 0.065 μB/f.u.

Cell lengths 9.6436, 3.8387, 3.8387 Å; angles 90.00, 90.00, 90.00 degrees
Fractional positions:
La: 0.7431 0.5000 0.5000
O: 0.5000 0.5000 0.5000
La: 0.2569 0.5000 0.5000
O: 0.8735 0.0000 0.5000
Pd: 0.5000 0.0000 0.0000
O: 0.1265 0.5000 0.0000
O: 0.1265 0.0000 0.5000
Pd: 0.0000 0.0000 0.0000
O: 0.8735 0.5000 0.0000

=====

--- ii ---
A relaxed La2Pd2O5 crystal. Source: the Open Quantum Materials Database, functional PBE-GGA.

Output
- Size of the total moment: 0.001 μB/f.u.

Cell lengths 7.1068, 4.0751, 4.0751 Å; angles 90.00, 90.00, 90.00 degrees
Fractional positions:
La: 0.0000 0.0000 0.0000
Pd: 0.8047 0.5000 0.5000
O: 0.5000 0.5000 0.5000
O: 0.2286 0.0000 0.5000
O: 0.7714 0.0000 0.5000
La: 0.5000 0.0000 0.0000
O: 0.7714 0.5000 0.0000
O: 0.2286 0.5000 0.0000
Pd: 0.1953 0.5000 0.5000

=====

The data favor ii; the next most stable structure lies 456 meV per atom above it.

=====

--- i ---
A relaxed La2Ta2O5 crystal. Source: the Open Quantum Materials Database, functional PBE-GGA.

Output
- Size of the total moment: 0.003 μB/f.u.

Cell lengths 10.5269, 3.5124, 3.5124 Å; angles 90.00, 90.00, 90.00 degrees
Fractional positions:
O: 0.8872 0.5000 0.0000
La: 0.7338 0.5000 0.5000
Ta: 0.5000 0.0000 0.0000
O: 0.1128 0.5000 0.0000
O: 0.8872 0.0000 0.5000
La: 0.2662 0.5000 0.5000
Ta: 0.0000 0.0000 0.0000
O: 0.5000 0.5000 0.5000
O: 0.1128 0.0000 0.5000

=====

--- ii ---
A relaxed La2Ta2O5 crystal. Source: the Open Quantum Materials Database, functional PBE-GGA.

Output
- Size of the total moment: 0.002 μB/f.u.

Cell lengths 7.2155, 4.0851, 4.0851 Å; angles 90.00, 90.00, 90.00 degrees
Fractional positions:
O: 0.2452 0.0000 0.5000
Ta: 0.2001 0.5000 0.5000
O: 0.2452 0.5000 0.0000
La: 0.0000 0.0000 0.0000
O: 0.7548 0.0000 0.5000
O: 0.7548 0.5000 0.0000
La: 0.5000 0.0000 0.0000
O: 0.5000 0.5000 0.5000
Ta: 0.7999 0.5000 0.5000

=====

The data favor ii; the next most stable structure lies 440 meV per atom above it.